## Pm2PPd (GGA-PBE)

Data for crystalline Pm2PPd at its relaxed geometry.

Cell: 7.1463 7.1463 7.1463 Å, 90.00 90.00 90.00°
Sites, in units of the cell vectors:
Pm: 0.2500 0.2500 0.2500
Pm: 0.2500 0.2500 0.7500
Pm: 0.2500 0.7500 0.2500
Pm: 0.2500 0.7500 0.7500
Pm: 0.7500 0.2500 0.2500
Pm: 0.7500 0.2500 0.7500
Pm: 0.7500 0.7500 0.2500
Pm: 0.7500 0.7500 0.7500
P: 0.0000 0.0000 0.0000
P: 0.0000 0.5000 0.5000
P: 0.5000 0.0000 0.5000
P: 0.5000 0.5000 0.0000
Pd: 0.0000 0.0000 0.5000
Pd: 0.0000 0.5000 0.0000
Pd: 0.5000 0.0000 0.0000
Pd: 0.5000 0.5000 0.5000

Mass density, Mg/m³: 7.8
Calculated total energy, eV/atom: -5.879
Symmetry: Fm-3m, No. 225
Formation enthalpy at 0 K, meV per atom: -853
Energy above the most stable polymorph in this dataset, meV/atom: 184
N(E_F), states/eV per cell: 14.914
Spin magnetization, μB per atom: 0.208